# Pm2Ho5Tm3 PBE relaxed
# Symmetry ... Ibam, No. 72
# D(E_F) ... 31.513 states/eV per cell
# E_form ... 421 meV/atom
# Energy relative to the lowest polymorph listed for this composition ... 206.1 meV/atom
# Crystal system ... orthorhombic
data_Pm2Ho5Tm3
_chemical_formula_sum 'Pm4 Ho10 Tm6'
_space_group_name_H-M_alt 'P 1'
_space_group_IT_number 1
_space_group_name_Hall 'P 1'
_cell_length_a 6.7242
_cell_length_b 12.2403
_cell_length_c 12.2403
_cell_angle_alpha 44.71
_cell_angle_beta 74.06
_cell_angle_gamma 74.06
loop_
_atom_site_label
_atom_site_type_symbol
_atom_site_fract_x
_atom_site_fract_y
_atom_site_fract_z
_atom_site_occupancy
Pm1 Pm 0.1247 0.7739 0.9767 1
Pm2 Pm 0.8753 0.2261 0.0233 1
Pm3 Pm 0.6247 0.9767 0.7739 1
Pm4 Pm 0.3753 0.0233 0.2261 1
Ho1 Ho 0.2500 0.5000 0.5000 1
Ho2 Ho 0.7500 0.5000 0.5000 1
Ho3 Ho 0.5010 0.7490 0.7490 1
Ho4 Ho 0.9990 0.2510 0.2510 1
Ho5 Ho 0.4990 0.2510 0.2510 1
Ho6 Ho 0.0010 0.7490 0.7490 1
Ho7 Ho 0.1247 0.4643 0.2863 1
Ho8 Ho 0.8753 0.5357 0.7137 1
Ho9 Ho 0.6247 0.2863 0.4643 1
Ho10 Ho 0.3753 0.7137 0.5357 1
Tm1 Tm 0.2500 0.0000 0.0000 1
Tm2 Tm 0.7500 0.0000 0.0000 1
Tm3 Tm 0.3762 0.3735 0.8742 1
Tm4 Tm 0.6238 0.6265 0.1258 1
Tm5 Tm 0.8762 0.8742 0.3735 1
Tm6 Tm 0.1238 0.1258 0.6265 1